# 1
Ce2Al2Ga5 | PBE-GGA | relaxed

Values from the calculation:
The energy of formation is -400 meV per atom. The calculation puts the density of states at the Fermi level at 11.325 states/eV/f.u. As for the total moment: 1.3 μB per cell. As for the volume: 20.4 A^3/atom.

Cell: 4.307 4.307 9.913 Å, 90.00 90.00 90.00°
Fractional coordinates of all 9 atoms:
Ga  0.000  0.500  0.274
Ga  0.500  0.000  0.274
Ga  0.500  0.000  0.726
Ga  0.500  0.500  0.500
Ga  0.000  0.500  0.726
Al  0.500  0.500  0.124
Al  0.500  0.500  0.876
Ce  0.000  0.000  0.500
Ce  0.000  0.000  0.000

***

# 2
Ce3Al2Ga7 | PBE-GGA | relaxed

Values from the calculation:
The energy of formation is -379 meV per atom. The calculation puts the density of states at the Fermi level at 16.350 states/eV/f.u. As for the total moment: 1.8 μB per cell. As for the volume: 21.3 A^3/atom.

Cell: 4.273 4.273 14.341 Å, 98.57 98.57 90.00°
Fractional coordinates of all 12 atoms:
Ga  0.770  0.770  0.541
Ga  0.920  0.420  0.841
Ga  0.580  0.080  0.159
Ga  0.080  0.580  0.159
Ga  0.420  0.920  0.841
Ga  0.000  0.000  0.000
Ga  0.230  0.230  0.459
Ce  0.665  0.665  0.329
Ce  0.500  0.500  0.000
Ce  0.335  0.335  0.671
Al  0.862  0.862  0.723
Al  0.138  0.138  0.277

***

# 3
CeAl2Ga | PBE-GGA | relaxed

Values from the calculation:
The energy of formation is -204 meV per atom. The calculation puts the density of states at the Fermi level at 5.489 states/eV/f.u. As for the total moment: 1.0 μB per cell. As for the volume: 20.8 A^3/atom.

Cell: 3.480 3.480 6.860 Å, 90.00 90.00 90.00°
Fractional coordinates of all 4 atoms:
Ce  0.500  0.500  0.500
Al  0.000  0.000  0.197
Al  0.000  0.000  0.803
Ga  0.500  0.500  0.000

***

# 4
Ce2Al3Ga | PBE-GGA | relaxed

Values from the calculation:
The energy of formation is -485 meV per atom. The calculation puts the density of states at the Fermi level at 11.126 states/eV/f.u. As for the total moment: 1.8 μB per cell. As for the volume: 20.7 A^3/atom. The distance to the lowest polymorph of the same formula is 0 meV/atom.

Cell: 5.594 5.594 5.607 Å, 90.04 119.87 120.00°
Fractional coordinates of all 6 atoms:
Al  0.000  0.000  0.500
Al  0.500  0.500  0.500
Al  0.500  0.000  0.500
Ga  0.000  0.000  0.000
Ce  0.752  0.376  0.128
Ce  0.248  0.624  0.872

***

# 5
Ce2AlGa3 | PBE-GGA | relaxed

Values from the calculation:
The energy of formation is -539 meV per atom. The calculation puts the density of states at the Fermi level at 10.914 states/eV/f.u. As for the total moment: 2.7 μB per cell. As for the volume: 22.4 A^3/atom. The distance to the lowest polymorph of the same formula is 0 meV/atom.

Cell: 6.014 6.014 8.551 Å, 110.09 110.09 91.33°
Fractional coordinates of all 12 atoms:
Ce  0.752  0.752  0.000
Ce  0.750  0.250  0.500
Ce  0.250  0.750  0.500
Ce  0.248  0.248  0.000
Al  0.334  0.334  0.667
Al  0.666  0.666  0.333
Ga  0.333  0.833  0.166
Ga  0.166  0.166  0.333
Ga  0.833  0.333  0.166
Ga  0.834  0.834  0.667
Ga  0.667  0.167  0.834
Ga  0.167  0.667  0.834

***

# 6
Ce2AlGa3 | PBE-GGA | relaxed

Values from the calculation:
The energy of formation is -535 meV per atom. The calculation puts the density of states at the Fermi level at 12.058 states/eV/f.u. As for the total moment: 1.2 μB per cell. As for the volume: 22.5 A^3/atom. The distance to the lowest polymorph of the same formula is 4 meV/atom.

Cell: 4.202 4.308 8.040 Å, 105.54 105.15 90.00°
Fractional coordinates of all 6 atoms:
Al  0.459  0.959  0.918
Ga  0.541  0.541  0.083
Ga  0.707  0.707  0.414
Ga  0.293  0.793  0.585
Ce  0.127  0.127  0.255
Ce  0.873  0.373  0.745

***

> What is the formula in the fifth record?

Ce2AlGa3

***

What did the fourth record say?
Ce2Al3Ga | PBE-GGA | relaxed

Values from the calculation:
The energy of formation is -485 meV per atom. The calculation puts the density of states at the Fermi level at 11.126 states/eV/f.u. As for the total moment: 1.8 μB per cell. As for the volume: 20.7 A^3/atom. The distance to the lowest polymorph of the same formula is 0 meV/atom.

Cell: 5.594 5.594 5.607 Å, 90.04 119.87 120.00°
Fractional coordinates of all 6 atoms:
Al  0.000  0.000  0.500
Al  0.500  0.500  0.500
Al  0.500  0.000  0.500
Ga  0.000  0.000  0.000
Ce  0.752  0.376  0.128
Ce  0.248  0.624  0.872

***

> Among the records above, which one has the highest total moment?

number 5